Compound: LiMoP2O7
Source: the Alexandria database
Functional: GGA+U
Structure: relaxed

Distance to the lowest polymorph of the same formula = 22 meV/atom
Space-group type = No. 2
Magnetization = 3.00 μB/f.u.

abc: 6.565 6.585 6.963
angles: 84.04 67.10 82.26
Element x y z (fractional)
Li: 0.696 0.009 0.830
Li: 0.304 0.991 0.170
Mo: 0.905 0.348 0.225
Mo: 0.095 0.652 0.775
P: 0.781 0.864 0.236
P: 0.650 0.612 0.648
P: 0.219 0.136 0.764
P: 0.350 0.388 0.352
O: 0.223 0.289 0.247
O: 0.623 0.952 0.132
O: 0.927 0.016 0.261
O: 0.377 0.048 0.868
O: 0.369 0.223 0.537
O: 0.073 0.984 0.739
O: 0.059 0.326 0.877
O: 0.589 0.405 0.204
O: 0.771 0.411 0.548
O: 0.631 0.777 0.463
O: 0.411 0.595 0.796
O: 0.941 0.674 0.123
O: 0.777 0.711 0.753
O: 0.229 0.589 0.452